Material: Hg3Ru5
Method: DFT, PBE
State: relaxed

Unit cell a=8.3602 b=8.3602 c=4.7527 alpha=90.00 beta=90.00 gamma=120.00
Last column: nearest neighbours and their distance in Å.
Space group P6_3/mcm (No. 193)
Inequivalent atoms, fractional coordinates:
Hg (0.0000, 0.3889, 0.2500) (multiplicity 6)  8 Ru 2.82-2.98, 2 Hg 3.02
Ru (0.0000, 0.1746, 0.7500) (multiplicity 6)  6 Ru 2.53-2.79, 2 Hg 2.82
Ru (0.3333, 0.6667, 0.0000) (multiplicity 4)  2 Ru 2.38

Results
- magnetic moment (μB/atom) = 0.26
- relative energy among the computed polymorphs (meV/atom) = 95.6
- DFT total energy (eV per atom) = -5.122
- energy of formation (eV per atom) = 0.79